A plane-wave DFT calculation with GGA-PBE was carried out for a geometry-optimized SrBeIr structure.

Structure (CIF):
```
data_SrBeIr
_chemical_formula_sum 'Sr1 Be1 Ir1'
_space_group_name_H-M_alt 'P 1'
_space_group_IT_number 1
_space_group_name_Hall 'P 1'
_cell_length_a 4.4015
_cell_length_b 4.4015
_cell_length_c 4.4015
_cell_angle_alpha 60.00
_cell_angle_beta 60.00
_cell_angle_gamma 60.00
loop_
_atom_site_label
_atom_site_type_symbol
_atom_site_fract_x
_atom_site_fract_y
_atom_site_fract_z
Sr1 Sr 0.5000 0.5000 0.5000
Ir1 Ir 0.0000 0.0000 0.0000
Be1 Be 0.7500 0.7500 0.7500
```

## Properties
SG   F-43m (216)
Electronic total energy   -4.38 eV/atom
Relative energy among the computed polymorphs   2.39 eV per formula unit
Total moment   0.00 μB per formula unit
Density of states at the Fermi level   0.6771 states/eV/atom